No. 1
4
Lattice="3.301 0.000 0.000 0.000 5.466 0.000 0.000 0.000 5.762" Properties=species:S:1:pos:R:3 comment="Pa3Bi, relaxed, DFT PBE-GGA" spacegroup="No. 25" formation_enthalpy_0k_ev_per_atom=-0.01 de_polymorph_mev_per_atom=92 pbc="T T T"
Bi 0.000 2.733 1.994
Pa 1.650 2.733 4.939
Pa 0.000 0.000 5.648
Pa 1.650 0.000 2.785

***

No. 2
4
Lattice="4.226 0.000 0.000 2.113 3.660 0.000 2.113 1.220 8.220" Properties=species:S:1:pos:R:3 comment="PaBi, relaxed, DFT PBE-GGA" spacegroup="No. 166" formation_enthalpy_0k_ev_per_atom=0.31 de_polymorph_mev_per_atom=411 pbc="T T T"
Pa 2.113 1.220 4.764
Bi 2.113 1.220 1.357
Pa 6.339 3.660 3.455
Bi 6.339 3.660 6.862

***

Q: What is the formula in the first record?
A: Pa3Bi